The following is a PBE+U calculation of an optimized crystal structure of NpTl2V3F12, from Alexandria.

Summary:
**Total energy**: -332.75 eV per cell

```
data_NpTl2V3F12
_chemical_formula_sum 'Np3 Tl6 V9 F36'
_space_group_name_H-M_alt 'R -3 m'
_space_group_IT_number 166
_space_group_name_Hall '-R 3 2"'
_cell_length_a 7.7709
_cell_length_b 7.7709
_cell_length_c 16.8377
_cell_angle_alpha 90.00
_cell_angle_beta 90.00
_cell_angle_gamma 120.00
loop_
_atom_site_label
_atom_site_fract_x
_atom_site_fract_y
_atom_site_fract_z
Np1 0.0000 0.0000 0.0000
Tl1 0.0000 0.0000 0.3826
V1 0.0000 0.5000 0.5000
F1 0.0097 0.5049 0.3764
F2 0.0936 0.5468 0.8087
```